Entry 1:
# KCaHg4

A relaxed KCaHg4 crystal (GGA-PBE, the Alexandria database).

Values from the calculation:
The value obtained for the total energy is -5.54 eV for the cell shown. The calculation puts the total moment at 0.00 μB per formula unit.

a = 6.2254 Å, b = 6.2254 Å, c = 6.2254 Å
α = 60.00°, β = 60.00°, γ = 60.00°
Last column: nearest neighbours and their distance in Å.
Element x y z (fractional)
K  0.0000  0.0000  0.0000  12 Hg 3.65, 4 Ca 3.81
Ca  0.7500  0.7500  0.7500  12 Hg 3.65, 4 K 3.81
Hg  0.3750  0.3750  0.3750  6 Hg 3.11
Hg  0.3750  0.3750  0.8750  6 Hg 3.11
Hg  0.3750  0.8750  0.3750  6 Hg 3.11
Hg  0.8750  0.3750  0.3750  6 Hg 3.11



Entry 2:
# KCa2Hg3

A relaxed KCa2Hg3 crystal (GGA-PBE, the Alexandria database).

Values from the calculation:
The value obtained for the total energy is -8.41 eV for the cell shown. The calculation puts the total moment at 0.00 μB per formula unit.

a = 3.8430 Å, b = 3.8430 Å, c = 12.2100 Å
α = 90.00°, β = 90.00°, γ = 90.00°
Last column: nearest neighbours and their distance in Å.
Element x y z (fractional)
K  0.0000  0.0000  0.0000  8 Hg 3.66, 4 K 3.84
Ca  0.0000  0.0000  0.3446  8 Hg 3.24-3.31
Ca  0.0000  0.0000  0.6554  8 Hg 3.24-3.31
Hg  0.5000  0.5000  0.2004  4 Ca 3.24
Hg  0.5000  0.5000  0.5000  8 Ca 3.31, 2 Hg 3.66
Hg  0.5000  0.5000  0.7996  4 Ca 3.24



Entry 3:
# KCa2Hg6

A relaxed KCa2Hg6 crystal (GGA-PBE, the Alexandria database).

Values from the calculation:
The value obtained for the total energy is -9.99 eV for the cell shown. The calculation puts the total moment at 0.00 μB per formula unit.

a = 9.1480 Å, b = 9.1480 Å, c = 9.1480 Å
α = 156.00°, β = 123.73°, γ = 62.04°
Last column: nearest neighbours and their distance in Å.
Element x y z (fractional)
K  0.0000  0.0000  0.0000  12 Hg 3.42-3.67, 2 K 3.80
Ca  0.3557  0.8557  0.5000  10 Hg 3.22-3.41
Ca  0.6443  0.1443  0.5000  10 Hg 3.22-3.41
Hg  0.0024  0.3250  0.6774  4 Hg 3.04-3.27, 1 Ca 3.22
Hg  0.3289  0.5000  0.8289  3 Hg 2.95-3.04, 4 Ca 3.30
Hg  0.3523  0.6750  0.6774  4 Hg 3.04-3.27, 1 Ca 3.22
Hg  0.6477  0.3250  0.3226  4 Hg 3.04-3.27, 1 Ca 3.22
Hg  0.6711  0.5000  0.1711  3 Hg 2.95-3.04, 4 Ca 3.30
Hg  0.9976  0.6750  0.3226  4 Hg 3.04-3.27, 1 Ca 3.22